DFT (GGA-PBE) results for an optimized crystal structure of Dy4As2N.

```
data_Dy4As2N
_space_group_name_H-M_alt 'I 4/m m m'
_space_group_IT_number 139
_space_group_name_Hall '-I 4 2'
_cell_length_a 4.535
_cell_length_b 4.535
_cell_length_c 15.249
_cell_angle_alpha 90.00
_cell_angle_beta 90.00
_cell_angle_gamma 90.00
loop_
_atom_site_label
_atom_site_type_symbol
_atom_site_fract_x
_atom_site_fract_y
_atom_site_fract_z
_atom_site_occupancy
Dy1 Dy 0.000 0.000 0.170 1
Dy2 Dy 0.000 0.500 0.000 1
As1 As 0.000 0.000 0.362 1
N1 N 0.000 0.000 0.000 1
```

Crystal system = tetragonal
Magnetization = 0.0 μB/f.u.
DFT total energy = -6.300 eV/atom
Energy relative to the elements, uncorrected = -1.1520 eV/atom

DFT (GGA-PBE) results for an optimized crystal structure of Dy5As4N.

```
data_Dy5As4N
_space_group_name_H-M_alt 'I 4'
_space_group_IT_number 79
_cell_length_a 8.903
_cell_length_b 8.903
_cell_length_c 5.796
_cell_angle_alpha 90.00
_cell_angle_beta 90.00
_cell_angle_gamma 90.00
loop_
_space_group_symop_operation_xyz
'x,y,z'
'-y,x,z'
'-x,-y,z'
'y,-x,z'
'x+1/2,y+1/2,z+1/2'
'-y+1/2,x+1/2,z+1/2'
'-x+1/2,-y+1/2,z+1/2'
'y+1/2,-x+1/2,z+1/2'
loop_
_atom_site_label
_atom_site_type_symbol
_atom_site_fract_x
_atom_site_fract_y
_atom_site_fract_z
_atom_site_occupancy
Dy1 Dy 0.000 0.000 0.000 1
Dy2 Dy 0.094 0.725 0.558 1
As1 As 0.093 0.698 0.062 1
N1 N 0.000 0.000 0.609 1
```

Crystal system = tetragonal
Magnetization = 0.0 μB/f.u.
DFT total energy = -6.433 eV/atom
Energy relative to the elements, uncorrected = -1.4401 eV/atom

DFT (GGA-PBE) results for an optimized crystal structure of Dy12As3N5.

```
data_Dy12As3N5
_space_group_name_H-M_alt 'I a -3 d'
_space_group_IT_number 230
_space_group_name_Hall '-I 4bd 2c 3'
_cell_length_a 15.214
_cell_length_b 15.214
_cell_length_c 15.214
_cell_angle_alpha 90.00
_cell_angle_beta 90.00
_cell_angle_gamma 90.00
loop_
_atom_site_label
_atom_site_type_symbol
_atom_site_fract_x
_atom_site_fract_y
_atom_site_fract_z
_atom_site_occupancy
Dy1 Dy 0.035 0.053 0.649 1
As1 As 0.000 0.250 0.125 1
N1 N 0.000 0.000 0.000 1
N2 N 0.000 0.250 0.375 1
```

Crystal system = cubic
Magnetization = 0.0 μB/f.u.
DFT total energy = -6.649 eV/atom
Energy relative to the elements, uncorrected = -1.1094 eV/atom

> What is the formula in the first record?

Dy4As2N